TlCrPbF6, optimized geometry, DFT PBE with a Hubbard U; energy = -46.417 eV for the cell shown
1.0
-1.796 5.550 -0.609
-1.901 2.990 4.668
4.367 1.507 0.820
Tl Cr Pb F
1 1 1 6
direct
0.000 0.000 0.812 Tl
0.333 0.333 0.574 Cr
0.666 0.666 0.182 Pb
0.116 0.241 0.343 F
0.461 0.007 0.802 F
0.532 0.461 0.801 F
0.007 0.532 0.802 F
0.242 0.643 0.342 F
0.643 0.116 0.343 F

VCr2PbF8, optimized geometry, DFT PBE with a Hubbard U; energy = -71.406 eV for the cell shown
1.0
4.572 -0.119 -0.032
-0.174 5.208 0.257
-0.028 0.339 7.501
V Cr Pb F
1 2 1 8
direct
0.000 0.000 0.000 V
0.511 0.498 0.773 Cr
0.489 0.502 0.227 Cr
0.000 0.000 0.500 Pb
0.835 0.763 0.233 F
0.336 0.731 0.018 F
0.154 0.233 0.205 F
0.165 0.237 0.767 F
0.664 0.269 0.982 F
0.846 0.767 0.795 F
0.403 0.718 0.548 F
0.597 0.282 0.452 F

VCrPbF6, optimized geometry, DFT PBE with a Hubbard U; energy = -103.936 eV for the cell shown
1.0
-5.428 1.426 0.364
1.440 -5.278 -1.305
0.023 -2.508 10.167
V Cr Pb F
2 2 2 12
direct
0.333 0.667 0.250 V
0.667 0.333 0.750 V
0.667 0.333 0.250 Cr
0.333 0.667 0.750 Cr
0.000 0.000 0.000 Pb
0.000 0.000 0.500 Pb
0.642 0.642 0.143 F
0.000 0.358 0.143 F
0.358 0.000 0.643 F
0.000 0.642 0.857 F
0.358 0.358 0.357 F
0.000 0.642 0.357 F
0.642 0.000 0.857 F
0.642 0.000 0.357 F
0.000 0.358 0.643 F
0.358 0.000 0.143 F
0.642 0.642 0.643 F
0.358 0.358 0.857 F

- Which value of energy does entry 1 give?
  -46.417 eV for the cell shown

Repeat the first record exactly.
TlCrPbF6, optimized geometry, DFT PBE with a Hubbard U; energy = -46.417 eV for the cell shown
1.0
-1.796 5.550 -0.609
-1.901 2.990 4.668
4.367 1.507 0.820
Tl Cr Pb F
1 1 1 6
direct
0.000 0.000 0.812 Tl
0.333 0.333 0.574 Cr
0.666 0.666 0.182 Pb
0.116 0.241 0.343 F
0.461 0.007 0.802 F
0.532 0.461 0.801 F
0.007 0.532 0.802 F
0.242 0.643 0.342 F
0.643 0.116 0.343 F

- Which of these has the highest energy?
  TlCrPbF6

- Which of these has the highest energy?
  TlCrPbF6